No. 1
Entry from Alexandria via LeMat-Bulk: a relaxed PrTmTeO6 crystal (PBE-GGA).

Cell: 5.551 5.551 10.008 Å, 90.00 90.00 120.00°
Atoms (fractional coordinates):
O (0.621, 0.963, 0.860)
O (0.963, 0.621, 0.360)
O (0.379, 0.342, 0.360)
O (0.963, 0.342, 0.140)
Pr (0.000, 0.000, 0.000)
O (0.342, 0.963, 0.640)
Te (0.333, 0.667, 0.750)
O (0.658, 0.037, 0.360)
Pr (0.000, 0.000, 0.500)
O (0.037, 0.658, 0.860)
Tm (0.333, 0.667, 0.250)
Tm (0.667, 0.333, 0.750)
O (0.658, 0.621, 0.140)
O (0.342, 0.379, 0.860)
Te (0.667, 0.333, 0.250)
O (0.379, 0.037, 0.140)
O (0.037, 0.379, 0.640)
O (0.621, 0.658, 0.640)

Results
The formation energy without anion corrections comes out at -2463.1 meV/atom.

No. 2
Entry from Alexandria via LeMat-Bulk: a relaxed PrTmTeO2 crystal (PBE-GGA).

Cell: 4.143 6.934 7.886 Å, 107.57 90.00 90.00°
Atoms (fractional coordinates):
Pr (0.750, 0.318, 0.074)
Pr (0.250, 0.682, 0.926)
Te (0.250, 0.048, 0.744)
Tm (0.750, 0.349, 0.586)
Te (0.750, 0.952, 0.256)
O (0.750, 0.514, 0.389)
O (0.750, 0.515, 0.869)
O (0.250, 0.486, 0.611)
O (0.250, 0.485, 0.131)
Tm (0.250, 0.651, 0.414)

Results
The formation energy without anion corrections comes out at -2918.3 meV/atom.

No. 3
Entry from Alexandria via LeMat-Bulk: a relaxed PrTm2TeO8 crystal (PBE-GGA).

Cell: 4.978 4.978 7.027 Å, 90.00 90.00 90.44°
Atoms (fractional coordinates):
Tm (0.500, 0.500, 0.238)
O (0.720, 0.720, 0.000)
Te (0.000, 0.000, 0.000)
O (0.814, 0.187, 0.795)
Pr (0.000, 0.000, 0.500)
O (0.674, 0.675, 0.500)
O (0.186, 0.813, 0.205)
O (0.326, 0.325, 0.500)
O (0.280, 0.280, 0.000)
Tm (0.500, 0.500, 0.762)
O (0.814, 0.187, 0.205)
O (0.186, 0.813, 0.795)

Results
The formation energy without anion corrections comes out at -2507.0 meV/atom.

No. 4
Entry from Alexandria via LeMat-Bulk: a relaxed PrUTe2O crystal (PBE-GGA).

Cell: 4.206 4.206 16.164 Å, 90.00 90.00 90.00°
Atoms (fractional coordinates):
Te (0.500, 0.000, 0.330)
Te (0.000, 0.500, 0.082)
U (0.000, 0.500, 0.434)
O (0.500, 0.500, 0.500)
Te (0.500, 0.000, 0.918)
U (0.500, 0.000, 0.566)
Te (0.000, 0.500, 0.670)
Pr (0.500, 0.000, 0.138)
Pr (0.000, 0.500, 0.862)
O (0.000, 0.000, 0.500)

Results
The formation energy without anion corrections comes out at -1740.0 meV/atom.